# 1
Computed, not measured: an optimized crystal structure of Ac6Tl5Te at the PBE level of DFT.

a b c (Å): 5.6528 8.7424 8.9681
angles (deg): 89.99 71.77 89.91
Last column: nearest neighbours and their distance in Å.
Space group P-1 (No. 2)
One atom of each set of equivalent atoms:
Ac1 0.0005 0.2468 0.9999 x2  2 Te 3.55-3.56, 6 Tl 3.59-3.71, 4 Ac 3.95-3.96
Ac2 0.3372 0.7482 0.3253 x2  7 Tl 3.51-3.63, 1 Te 3.54
Ac3 0.3380 0.2519 0.3252 x2  7 Tl 3.51-3.63, 1 Te 3.54
Tl1 0.1670 0.5000 0.6664 x2  8 Ac 3.56-3.63
Tl2 0.1762 0.0001 0.6460 x2  8 Ac 3.51-3.71, 2 Tl 3.75-3.78
Tl3 0.5000 0.5000 0.0000 x1  8 Ac 3.52-3.59
Te1 0.5000 0.0000 0.0000 x1  8 Ac 3.54-3.56

Excess energy over the best structure of this formula in the dataset = 0.0 meV per atom
Formation energy (no corrections) = -0.495 eV/atom

# 2
Computed, not measured: an optimized crystal structure of PuZnRh at the PBE level of DFT.

a b c (Å): 5.0981 4.5295 5.3090
angles (deg): 90.00 108.18 90.00
Last column: nearest neighbours and their distance in Å.
Space group P2_1/m (No. 11)
One atom of each set of equivalent atoms:
Pu1 0.2436 0.2500 0.4041 x2  4 Rh 2.75-2.89
Zn1 0.3639 0.7500 0.9802 x2  2 Zn 2.63, 4 Rh 2.65-2.69
Rh1 0.0821 0.2500 0.8525 x2  4 Zn 2.65-2.69, 4 Pu 2.75-2.89

E_form = -377 meV per atom

Spin magnetization? In order: 0.00 10.71 μB/cell.